(1)
! Hf2MgRh PBE optimized geometry; values from VASP
&SYSTEM
  ibrav = 0, nat = 8, ntyp = 3
/
ATOMIC_SPECIES
Rh 102.91 Rh.upf
Hf 178.49 Hf.upf
Mg 24.30 Mg.upf
ATOMIC_POSITIONS crystal
Rh 0.000 0.000 0.000
Hf 0.875 0.930 0.750
Mg 0.250 0.750 0.500
Hf 0.680 0.125 0.250
Hf 0.375 0.320 0.750
Hf 0.070 0.625 0.250
Mg 0.500 0.500 0.000
Rh 0.750 0.250 0.500
CELL_PARAMETERS angstrom
-1.222 1.472 -7.508
4.935 -5.659 -1.913
-0.294 -3.964 -4.727
! Uncorrected energy: -58.0 eV per cell

(2)
! Hf2MgRh PBE optimized geometry; values from VASP
&SYSTEM
  ibrav = 0, nat = 4, ntyp = 3
/
ATOMIC_SPECIES
Rh 102.91 Rh.upf
Hf 178.49 Hf.upf
Mg 24.30 Mg.upf
ATOMIC_POSITIONS crystal
Rh 0.500 0.500 0.000
Hf 0.000 0.000 0.229
Mg 0.500 0.500 0.500
Hf 0.000 0.000 0.771
CELL_PARAMETERS angstrom
-0.480 -0.406 -3.321
2.457 -2.320 -0.071
-4.503 -4.808 1.238
! Uncorrected energy: -30.1 eV per cell

Number 1: magnetization 0.00 μB per formula unit. Number 2: magnetization 0.00 μB per formula unit.